Entry 1:
Material: Ac2MnSbPt6
Method: DFT, PBE-GGA
State: optimized geometry

Summary:
* energy: -130.6 eV/cell
* formation energy from raw total energies: -0.753 eV/atom
* density: 13.32 g/cm³

abc: 12.649 5.590 8.837
angles: 90.00 134.05 90.00
Space group C2/m (No. 12)
Symmetry-distinct sites (fractional):
Ac1 0.241 0.000 0.280 x4
Mn1 0.000 0.500 0.000 x2
Sb1 0.000 0.000 0.500 x2
Pt1 0.005 0.255 0.759 x8
Pt2 0.245 0.500 0.099 x4



Entry 2:
Material: Pu2BrCl2O
Method: DFT, PBE-GGA
State: optimized geometry

Summary:
* energy: -101.9 eV/cell
* formation energy from raw total energies: -1.997 eV/atom
* density: 6.51 g/cm³

abc: 3.816 10.645 8.229
angles: 90.00 90.00 90.00
Space group Pmc2_1 (No. 26)
Symmetry-distinct sites (fractional):
Pu1 0.000 0.061 0.000 x2
Pu2 0.500 0.238 0.359 x2
Br1 0.500 0.111 0.682 x2
Cl1 0.000 0.411 0.445 x2
Cl2 0.500 0.262 0.028 x2
O1 0.000 0.116 0.323 x2



Entry 3:
Material: Tl2ReSi
Method: DFT, PBE-GGA
State: optimized geometry

Summary:
* energy: -18.1 eV/cell
* formation energy from raw total energies: 1.115 eV/atom
* excess energy over the best structure of this formula in the dataset: 762 meV/atom
* density: 13.02 g/cm³

abc: 3.267 4.913 4.951
angles: 90.00 90.00 90.00
Space group Pmmm (No. 47)
Symmetry-distinct sites (fractional):
Tl1 0.000 0.000 0.000 x1
Tl2 0.500 0.500 0.000 x1
Re1 0.000 0.500 0.500 x1
Si1 0.500 0.000 0.500 x1



Entry 4:
Material: CuRe2Au
Method: DFT, PBE-GGA
State: optimized geometry

Summary:
* energy: -94.7 eV/cell
* excess energy over the best structure of this formula in the dataset: 0 meV/atom
* calculated formation energy: 0.176 eV/atom
* density: 17.24 g/cm³

abc: 2.7868 2.7868 27.1852
angles: 90.00 90.00 120.00
Space group R3m (No. 160, hexagonal axes)
Symmetry-distinct sites (fractional):
Cu1 0.0000 0.0000 0.0000 x3
Re1 0.0000 0.0000 0.4914 x3
Re2 0.0000 0.0000 0.7475 x3
Au1 0.0000 0.0000 0.2504 x3



Entry 5:
Material: KSrZr2
Method: DFT, PBE-GGA
State: optimized geometry

Summary:
* energy: -32.3 eV/cell
* excess energy over the best structure of this formula in the dataset: 531 meV/atom
* calculated formation energy: 0.936 eV/atom
* density: 4.04 g/cm³

abc: 4.530 4.530 12.380
angles: 90.00 90.00 90.00
Space group I4/mmm (No. 139)
Symmetry-distinct sites (fractional):
K1 0.000 0.000 0.000 x2
Sr1 0.000 0.000 0.500 x2
Zr1 0.000 0.500 0.250 x4



Entry 6:
Material: SmGdMnCd
Method: DFT, PBE-GGA
State: optimized geometry

Summary:
* energy: -115.2 eV/cell
* calculated formation energy: 0.019 eV/atom
* density: 7.68 g/cm³

abc: 7.432 7.432 7.432
angles: 90.00 90.00 90.00
Space group F-43m (No. 216)
Symmetry-distinct sites (fractional):
Sm1 0.000 0.000 0.000 x4
Gd1 0.000 0.000 0.500 x4
Mn1 0.250 0.250 0.750 x4
Cd1 0.250 0.250 0.250 x4



Entry 7:
Material: LaDyY2Tm5
Method: DFT, PBE-GGA
State: optimized geometry

Summary:
* energy: -173.2 eV/cell
* calculated formation energy: 0.168 eV/atom
* density: 7.60 g/cm³

abc: 5.590 19.623 10.544
angles: 90.00 90.00 90.00
Space group Cmc2_1 (No. 36)
Symmetry-distinct sites (fractional):
La1 0.000 0.081 0.000 x4
Dy1 0.000 0.298 0.559 x4
Y1 0.000 0.387 0.866 x4
Y2 0.000 0.389 0.279 x4
Tm1 0.000 0.020 0.282 x4
Tm2 0.000 0.112 0.569 x4
Tm3 0.000 0.203 0.257 x4
Tm4 0.000 0.218 0.859 x4
Tm5 0.000 0.482 0.574 x4



Entry 8:
Material: Cs2ErGaTe4
Method: DFT, PBE-GGA
State: optimized geometry

Summary:
* energy: -237.7 eV/cell
* formation energy from raw total energies: -0.980 eV/atom
* density: 4.44 g/cm³

abc: 6.718 15.981 28.209
angles: 90.00 90.00 90.00
Space group Fddd (No. 70, origin choice 2)
Symmetry-distinct sites (fractional):
Cs1 0.125 0.125 0.306 x16
Er1 0.125 0.125 0.125 x8
Ga1 0.125 0.125 0.625 x8
Te1 0.099 0.275 0.820 x32



Entry 9:
Material: Mg5Sn3O12
Method: DFT, PBE-GGA
State: optimized geometry

Summary:
* energy: -914.4 eV/cell
* formation energy from raw total energies: -1.741 eV/atom
* density: 4.85 g/cm³

abc: 12.245 12.245 12.245
angles: 90.00 90.00 90.00
Space group Ia-3d (No. 230)
Symmetry-distinct sites (fractional):
Mg1 0.000 0.000 0.000 x16
Mg2 0.000 0.250 0.375 x24
Sn1 0.000 0.250 0.125 x24
O1 0.023 0.070 0.654 x96



Entry 10:
Material: Si2GeIr3
Method: DFT, PBE-GGA
State: optimized geometry

Summary:
* energy: -89.7 eV/cell
* formation energy from raw total energies: -0.464 eV/atom
* density: 12.81 g/cm³

abc: 6.179 3.708 8.002
angles: 90.00 93.94 90.00
Space group P2_1/m (No. 11)
Symmetry-distinct sites (fractional):
Si1 0.077 0.250 0.313 x2
Si2 0.330 0.250 0.045 x2
Ge1 0.443 0.250 0.647 x2
Ir1 0.083 0.750 0.123 x2
Ir2 0.196 0.750 0.478 x2
Ir3 0.294 0.750 0.834 x2



Entry 11:
Material: MgCd3C
Method: DFT, PBE-GGA
State: optimized geometry

Summary:
* energy: -5.3 eV/cell
* excess energy over the best structure of this formula in the dataset: 890 meV/atom
* calculated formation energy: 1.652 eV/atom
* density: 3.71 g/cm³

abc: 5.510 5.510 5.510
angles: 90.00 90.00 90.00
Space group Pm-3m (No. 221)
Symmetry-distinct sites (fractional):
Mg1 0.000 0.000 0.000 x1
Cd1 0.000 0.000 0.500 x3
C1 0.500 0.500 0.500 x1



Entry 12:
Material: VCdPtRh
Method: DFT, PBE-GGA
State: optimized geometry

Summary:
* energy: -96.2 eV/cell
* excess energy over the best structure of this formula in the dataset: 231 meV/atom
* calculated formation energy: -0.158 eV/atom
* density: 12.09 g/cm³

abc: 6.328 6.328 6.328
angles: 90.00 90.00 90.00
Space group F-43m (No. 216)
Symmetry-distinct sites (fractional):
V1 0.000 0.000 0.000 x4
Cd1 0.000 0.000 0.500 x4
Pt1 0.250 0.250 0.750 x4
Rh1 0.250 0.250 0.250 x4



Number 1 is which compound? Ac2MnSbPt6



Which value of energy does entry 8 give? -237.7 eV/cell